DFT (GGA-PBE) results for an optimized crystal structure of LiZr2HPd.

Properties
ΔE to the lowest computed polymorph, meV per atom: 0
Uncorrected energy, eV/atom: -5.834
SG: P4/mmm, No. 123

Structure (POSCAR):
```
LiZr2HPd
1.0
4.439 0.000 0.000
0.000 4.439 0.000
0.000 0.000 3.826
H Zr Pd Li
1 2 1 1
direct
0.000 0.000 0.000 H
0.000 0.500 0.000 Zr
0.500 0.000 0.000 Zr
0.500 0.500 0.500 Pd
0.000 0.000 0.500 Li
```



DFT (GGA-PBE) results for an optimized crystal structure of LiZr2HPd.

Properties
ΔE to the lowest computed polymorph, meV per atom: 102
Uncorrected energy, eV/atom: -5.733
SG: P4/mmm, No. 123

Structure (POSCAR):
```
LiZr2HPd
1.0
4.391 0.000 0.000
0.000 4.391 0.000
0.000 0.000 4.000
H Zr Pd Li
1 2 1 1
direct
0.000 0.000 0.000 H
0.000 0.500 0.000 Zr
0.500 0.000 0.000 Zr
0.000 0.000 0.500 Pd
0.500 0.500 0.500 Li
```



DFT (GGA-PBE) results for an optimized crystal structure of LiPmH.

Properties
ΔE to the lowest computed polymorph, meV per atom: 138
Uncorrected energy, eV/atom: -3.279
SG: Pmma, No. 51

Structure (POSCAR):
```
LiPmH
1.0
4.462 0.000 0.000
0.000 8.436 0.000
0.000 0.000 12.849
H Li Pm
8 8 8
direct
0.500 0.250 0.000 H
0.500 0.750 0.500 H
0.500 0.750 0.000 H
0.500 0.250 0.500 H
0.000 0.888 0.750 H
0.000 0.112 0.250 H
0.000 0.388 0.750 H
0.000 0.612 0.250 H
0.500 0.924 0.876 Li
0.500 0.076 0.124 Li
0.500 0.076 0.376 Li
0.500 0.424 0.876 Li
0.500 0.576 0.376 Li
0.500 0.924 0.624 Li
0.500 0.576 0.124 Li
0.500 0.424 0.624 Li
0.000 0.250 0.000 Pm
0.000 0.250 0.500 Pm
0.000 0.750 0.000 Pm
0.000 0.750 0.500 Pm
0.000 0.138 0.750 Pm
0.000 0.862 0.250 Pm
0.000 0.638 0.750 Pm
0.000 0.362 0.250 Pm
```



DFT (GGA-PBE) results for an optimized crystal structure of LiPmH2.

Properties
Uncorrected energy, eV/atom: -3.637
SG: R-3m, No. 166

Structure (POSCAR):
```
LiPmH2
1.0
-1.808 2.530 -1.252
-3.305 0.127 0.544
-0.847 3.749 4.312
H Li Pm
2 1 1
direct
0.261 0.261 0.217 H
0.739 0.739 0.783 H
0.000 0.000 0.000 Li
0.500 0.500 0.500 Pm
```



DFT (GGA-PBE) results for an optimized crystal structure of LiPm3H.

Properties
Uncorrected energy, eV/atom: -3.945
SG: Pm-3m, No. 221

Structure (POSCAR):
```
LiPm3H
1.0
-1.047 -0.568 4.868
4.626 -1.760 0.789
1.620 4.658 0.892
H Li Pm
1 1 3
direct
0.000 0.000 0.000 H
0.500 0.500 0.500 Li
0.000 0.500 0.000 Pm
0.000 0.000 0.500 Pm
0.500 0.000 0.000 Pm
```



DFT (GGA-PBE) results for an optimized crystal structure of LiPmH.

Properties
ΔE to the lowest computed polymorph, meV per atom: 0
Uncorrected energy, eV/atom: -3.417
SG: P3m1, No. 156

Structure (POSCAR):
```
LiPmH
1.0
3.396 0.000 0.000
-1.698 2.941 0.000
0.000 0.000 5.817
H Li Pm
1 1 1
direct
0.667 0.333 0.337 H
0.000 0.000 0.094 Li
0.333 0.667 0.570 Pm
```